1.
Material: Ag2Mo
Method: DFT, GGA-PBE
State: optimized geometry

Output
Total DFT energy (no corrections) (eV per atom): -5.09
Density of states at the Fermi level (states/eV/cell): 3.99
ΔE to the lowest computed polymorph (meV per atom): 26

abc: 2.7306 2.7306 13.5799
angles: 90.00 90.00 90.00
With the nearest neighbours (Å) after each atom.
Space group I4/mmm (No. 139)
Asymmetric unit:
Ag (0.0000, 0.0000, 0.1653) x4  8 Ag 2.73-3.00, 4 Mo 2.96
Mo (0.0000, 0.0000, 0.5000) x2  4 Mo 2.73, 8 Ag 2.96



2.
Material: ZrCdAgPd
Method: DFT, GGA-PBE
State: optimized geometry

Output
Total DFT energy (no corrections) (eV per atom): -4.68
Density of states at the Fermi level (states/eV/cell): 15.91

abc: 6.6930 6.6930 6.6930
angles: 90.00 90.00 90.00
With the nearest neighbours (Å) after each atom.
Space group F-43m (No. 216)
Asymmetric unit:
Zr (0.0000, 0.0000, 0.0000) x4  4 Pd 2.90, 4 Ag 2.90
Cd (0.0000, 0.0000, 0.5000) x4  4 Pd 2.90, 4 Ag 2.90
Ag (0.2500, 0.2500, 0.7500) x4  4 Zr 2.90, 4 Cd 2.90
Pd (0.2500, 0.2500, 0.2500) x4  4 Cd 2.90, 4 Zr 2.90



3.
Material: AcPrS3
Method: DFT, GGA-PBE
State: optimized geometry

Output
Total DFT energy (no corrections) (eV per atom): -6.35
Uncorrected formation energy (eV per atom): -2.093
ΔE to the lowest computed polymorph (meV per atom): 35

abc: 4.2241 6.9671 9.0988
angles: 90.00 90.00 90.00
With the nearest neighbours (Å) after each atom.
Space group Pmmn (No. 59, origin choice 2)
Asymmetric unit:
Ac (0.2500, 0.2500, 0.1459) x2  6 S 2.90-3.16
Pr (0.2500, 0.7500, 0.4006) x2  7 S 2.89-2.98
S (0.2500, 0.5183, 0.6662) x4  3 Pr 2.89-2.91, 2 Ac 3.16, 1 S 3.23
S (0.2500, 0.7500, 0.0729) x2  2 Ac 2.90, 1 Pr 2.98



4.
Material: NdDy6Y8
Method: DFT, GGA-PBE
State: optimized geometry

Output
Total DFT energy (no corrections) (eV per atom): -5.37
Density of states at the Fermi level (states/eV/cell): 22.48
ΔE to the lowest computed polymorph (meV per atom): 103

abc: 9.4418 9.4418 6.5601
angles: 90.00 90.00 120.00
With the nearest neighbours (Å) after each atom.
Space group P-3 (No. 147)
Asymmetric unit:
Nd (0.0000, 0.0000, 0.0000) x1  6 Dy 3.59
Dy (0.0907, 0.4122, 0.9079) x6  1 Dy 3.16, 3 Y 3.22-3.48
Y (0.0268, 0.6888, 0.5991) x6  4 Dy 3.22-3.59, 5 Y 3.34-3.59
Y (0.3333, 0.6667, 0.3271) x2  6 Y 3.41-3.49, 3 Dy 3.62



5.
Material: NdSmY5
Method: DFT, GGA-PBE
State: optimized geometry

Output
Total DFT energy (no corrections) (eV per atom): -5.79
Density of states at the Fermi level (states/eV/cell): 39.98
ΔE to the lowest computed polymorph (meV per atom): 88

abc: 11.7952 6.8283 12.3250
angles: 90.00 109.55 90.00
With the nearest neighbours (Å) after each atom.
Space group C2/c (No. 15)
Asymmetric unit:
Nd (0.2500, 0.2500, 0.0000) x4  4 Y 3.30-3.66
Sm (0.0000, 0.0262, 0.2500) x4  3 Y 3.01-3.33
Y (0.0000, 0.4139, 0.7500) x4  1 Sm 3.01, 2 Y 3.03
Y (0.0766, 0.2668, 0.4988) x8  1 Sm 3.33, 4 Y 3.33-3.67
Y (0.2204, 0.3587, 0.2501) x8  2 Y 3.03-3.33, 1 Nd 3.30



6.
Material: Ho2AsSe
Method: DFT, GGA-PBE
State: optimized geometry

Output
Total DFT energy (no corrections) (eV per atom): -6.01
Uncorrected formation energy (eV per atom): -1.691
Density of states at the Fermi level (states/eV/cell): 4.62
ΔE to the lowest computed polymorph (meV per atom): 3

abc: 4.0768 4.0768 20.0795
angles: 90.00 90.00 120.00
With the nearest neighbours (Å) after each atom.
Space group R-3m (No. 166, hexagonal axes)
Asymmetric unit:
Ho (0.0000, 0.0000, 0.2457) x6  3 As 2.84, 3 Se 2.94
As (0.0000, 0.0000, 0.5000) x3  6 Ho 2.84
Se (0.0000, 0.0000, 0.0000) x3  6 Ho 2.94



7.
Material: ReAs2Br
Method: DFT, GGA-PBE
State: optimized geometry

Output
Total DFT energy (no corrections) (eV per atom): -4.95
Uncorrected formation energy (eV per atom): 0.904
Density of states at the Fermi level (states/eV/cell): 5.61
ΔE to the lowest computed polymorph (meV per atom): 758

abc: 5.9700 7.6420 3.3240
angles: 90.00 108.00 90.00
With the nearest neighbours (Å) after each atom.
Space group C2/m (No. 12)
Asymmetric unit:
Re (0.0000, 0.0000, 0.0000) x2  4 As 2.67, 2 Br 2.98
As (0.2500, 0.2500, 0.5000) x4  2 Re 2.67, 2 Br 2.67, 2 As 2.98
Br (0.0000, 0.5000, 0.0000) x2  4 As 2.67, 2 Re 2.98



8.
Material: PaBeSb2
Method: DFT, GGA-PBE
State: optimized geometry

Output
Total DFT energy (no corrections) (eV per atom): -5.05
Uncorrected formation energy (eV per atom): 0.321
Density of states at the Fermi level (states/eV/cell): 17.38

abc: 4.5338 4.5338 23.9336
angles: 90.00 90.00 120.00
With the nearest neighbours (Å) after each atom.
Space group R-3m (No. 166, hexagonal axes)
Asymmetric unit:
Pa (0.0000, 0.0000, 0.0000) x3  6 Sb 3.12
Be (0.0000, 0.0000, 0.5000) x3  2 Sb 2.29
Sb (0.0000, 0.0000, 0.4042) x6  1 Be 2.29



9.
Material: MnGaCoSe2
Method: DFT, GGA-PBE
State: optimized geometry

Output
Total DFT energy (no corrections) (eV per atom): -5.43
Uncorrected formation energy (eV per atom): -0.176
Density of states at the Fermi level (states/eV/cell): 2.01
ΔE to the lowest computed polymorph (meV per atom): 24

abc: 3.7015 5.1992 6.6678
angles: 68.08 77.19 69.18
With the nearest neighbours (Å) after each atom.
Space group P1 (No. 1)
Asymmetric unit:
Mn (0.0000, 0.0000, 0.0000) x1  3 Se 2.37-2.43, 2 Ga 2.53, 2 Co 2.65
Ga (0.6847, 0.6990, 0.9145) x1  2 Co 2.39, 2 Mn 2.53, 1 Se 2.67
Co (0.3450, 0.4111, 0.8736) x1  3 Se 2.31-2.38, 2 Ga 2.39
Se (0.3750, 0.0747, 0.2186) x1  1 Co 2.31, 2 Mn 2.43
Se (0.9529, 0.3698, 0.6559) x1  1 Mn 2.37, 2 Co 2.38



10.
Material: Zn3Pb5
Method: DFT, GGA-PBE
State: optimized geometry

Output
Total DFT energy (no corrections) (eV per atom): -2.67
Density of states at the Fermi level (states/eV/cell): 6.85
ΔE to the lowest computed polymorph (meV per atom): 0

abc: 6.1225 8.6835 8.7892
angles: 84.67 69.67 74.47
With the nearest neighbours (Å) after each atom.
Space group P-1 (No. 2)
Asymmetric unit:
Zn (0.1605, 0.0000, 0.1803) x2  8 Pb 3.08-3.28
Zn (0.2517, 0.5000, 0.9966) x2  8 Pb 3.00-3.14, 2 Zn 3.06
Zn (0.2767, 0.3170, 0.5004) x2  8 Pb 3.10-3.33
Pb (0.0946, 0.6251, 0.7107) x2  5 Zn 3.01-3.32
Pb (0.1742, 0.2021, 0.8649) x2  5 Zn 3.12-3.17, 1 Pb 3.48
Pb (0.2714, 0.9499, 0.5000) x2  4 Zn 3.08-3.20, 4 Pb 3.15-3.44
Pb (0.3067, 0.6251, 0.2883) x2  5 Zn 3.00-3.33
Pb (0.4601, 0.7977, 0.8658) x2  5 Zn 3.12-3.17, 1 Pb 3.48



11.
Material: CuHgTe2
Method: DFT, GGA-PBE
State: optimized geometry

Output
Total DFT energy (no corrections) (eV per atom): -2.52
Uncorrected formation energy (eV per atom): 0.153
Density of states at the Fermi level (states/eV/cell): 3.97

abc: 3.8697 5.3937 10.2863
angles: 90.00 90.00 90.00
With the nearest neighbours (Å) after each atom.
Space group Cmmm (No. 65)
Asymmetric unit:
Cu (0.0000, 0.0000, 0.0000) x2  4 Te 2.69
Hg (0.0000, 0.0000, 0.5000) x2  4 Hg 3.32
Te (0.0000, 0.5000, 0.1818) x4  2 Cu 2.69



12.
Material: NbSO2
Method: DFT, GGA-PBE
State: optimized geometry

Output
Total DFT energy (no corrections) (eV per atom): -7.11
Uncorrected formation energy (eV per atom): -1.086
Density of states at the Fermi level (states/eV/cell): 6.52

abc: 2.9184 2.9184 19.8494
angles: 90.00 90.00 120.00
With the nearest neighbours (Å) after each atom.
Space group R-3m (No. 166, hexagonal axes)
Asymmetric unit:
Nb (0.0000, 0.0000, 0.0000) x3  6 O 2.16
S (0.0000, 0.0000, 0.5000) x3  2 O 1.96
O (0.0000, 0.0000, 0.4013) x6  1 S 1.96, 3 Nb 2.16